No. 1
The following is a DFT calculation (GGA-PBE) of a relaxed structure of Zn3CoS.

Cell and atoms, written as extended XYZ:
```
5
Lattice="4.5592 0.0000 0.0000 0.0000 4.5592 0.0000 0.0000 0.0000 4.5592" Properties=species:S:1:pos:R:3 pbc="T T T"
Co 2.2796 2.2796 2.2796
Zn 2.2796 0.0000 0.0000
Zn 0.0000 0.0000 2.2796
Zn 0.0000 2.2796 0.0000
S 0.0000 0.0000 0.0000
```

Computed properties:
**Total energy**: -10.4 eV per cell
**Energy relative to the lowest polymorph listed for this composition**: 341.9 meV/atom
**E_form (uncorrected)**: 452 kJ/mol of formula units

No. 2
The following is a DFT calculation (GGA-PBE) of a relaxed structure of Bi3CBr.

Cell and atoms, written as extended XYZ:
```
5
Lattice="5.1186 0.0000 0.0000 0.0000 5.1186 0.0000 0.0000 0.0000 5.1186" Properties=species:S:1:pos:R:3 pbc="T T T"
Bi 2.5593 0.0000 0.0000
Bi 0.0000 2.5593 0.0000
Bi 0.0000 0.0000 2.5593
Br 2.5593 2.5593 2.5593
C 0.0000 0.0000 0.0000
```

Computed properties:
**Total energy**: -18.1 eV per cell
**E_form (uncorrected)**: 433 kJ/mol of formula units

No. 3
The following is a DFT calculation (GGA-PBE) of a relaxed structure of Ac6Ni2SBr3.

Cell and atoms, written as extended XYZ:
```
12
Lattice="-3.6611 -5.9786 -2.8722 1.0708 0.5389 7.4806 -6.0165 5.6764 -0.8236" Properties=species:S:1:pos:R:3 pbc="T T T"
Br -2.6920 2.3378 5.4180
Br -5.9148 -2.1011 -1.6332
Br -4.3034 0.1184 1.8924
S 0.0000 0.0000 0.0000
Ac -3.0513 -2.7745 3.1413
Ac -5.9494 1.5517 4.6403
Ac -2.6574 -1.3150 -0.8555
Ac -1.0072 0.9580 2.7551
Ac -7.5997 -0.7213 1.0297
Ac -5.5556 3.0112 0.6436
Ni -2.0872 -3.8107 0.5714
Ni -0.5032 -1.6290 4.0370
```

Computed properties:
**Total energy**: -58.4 eV per cell
**E_form (uncorrected)**: -1255 kJ/mol of formula units

No. 4
The following is a DFT calculation (GGA-PBE) of a relaxed structure of NdTl3Hg12.

Cell and atoms, written as extended XYZ:
```
16
Lattice="-0.3917 -3.8815 2.5680 4.6280 -0.0524 0.6267 -2.1795 11.5045 17.0570" Properties=species:S:1:pos:R:3 pbc="T T T"
Hg 1.5909 0.8163 5.7239
Hg 1.5097 4.2190 6.6075
Hg -2.1226 8.2297 16.3631
Hg -1.5711 5.3185 12.0468
Hg -1.0001 2.3045 7.5781
Hg -0.4486 -0.6068 3.2618
Hg 0.9387 7.2331 11.0762
Hg 0.3872 10.1443 15.3925
Hg 2.0613 1.3078 2.2912
Hg 1.0284 3.7853 10.1258
Hg 2.1181 -1.9670 1.5973
Hg 0.4659 6.7543 14.5277
Tl -1.6533 8.7268 12.9386
Tl -1.0898 5.7523 8.5285
Tl -0.5262 2.7778 4.1184
Nd 0.0000 0.0000 0.0000
```

Computed properties:
**Total energy**: -17.2 eV per cell
**Energy relative to the elements**: -0.10 eV/atom

No. 5
The following is a DFT calculation (GGA-PBE) of a relaxed structure of K6NbBi4.

Cell and atoms, written as extended XYZ:
```
22
Lattice="8.7751 0.0000 0.0000 0.0000 9.7998 -5.6579 0.0000 0.0000 11.3159" Properties=species:S:1:pos:R:3 pbc="T T T"
K 1.2043 4.6267 3.3021
K 5.5918 5.1731 2.3558
K 1.2043 4.6267 8.0137
K 8.3427 2.8254 0.0000
K 3.9552 1.4127 8.8690
K 3.9552 1.4127 2.4469
K 1.2043 0.5464 5.6579
K 8.3427 8.3871 -3.2111
K 5.5918 5.1731 -2.3558
K 8.3427 8.3871 3.2111
K 3.9552 6.9745 5.6580
K 5.5918 9.2535 0.0000
Bi 7.4268 1.9383 3.3572
Bi 7.4268 5.9233 5.6579
Bi 8.2253 6.5332 0.0000
Bi 3.0393 7.8616 2.3008
Bi 3.8378 3.2666 5.6580
Bi 3.0393 7.8616 -2.3008
Bi 7.4268 1.9383 7.9587
Bi 3.0393 3.8765 0.0000
Nb 6.5988 3.2666 5.6579
Nb 2.2113 6.5332 0.0000
```

Computed properties:
**Total energy**: -70.3 eV per cell
**Energy relative to the elements**: -0.27 eV/atom

No. 6
The following is a DFT calculation (GGA-PBE) of a relaxed structure of AcHg3Sb3.

Cell and atoms, written as extended XYZ:
```
14
Lattice="7.9482 0.0000 0.0000 0.0000 7.9482 0.0000 0.0000 0.0000 7.9482" Properties=species:S:1:pos:R:3 pbc="T T T"
Hg 1.9870 3.9741 0.0000
Hg 5.9611 3.9741 0.0000
Hg 3.9741 0.0000 1.9870
Hg 0.0000 1.9870 3.9741
Hg 0.0000 5.9611 3.9741
Hg 3.9741 0.0000 5.9611
Sb 3.9741 5.9611 0.0000
Sb 0.0000 3.9741 5.9611
Sb 5.9611 0.0000 3.9741
Sb 1.9870 0.0000 3.9741
Sb 0.0000 3.9741 1.9870
Sb 3.9741 1.9870 0.0000
Ac 3.9741 3.9741 3.9741
Ac 0.0000 0.0000 0.0000
```

Computed properties:
**Total energy**: -32.6 eV per cell
**E_form (uncorrected)**: 105 kJ/mol of formula units

No. 7
The following is a DFT calculation (GGA-PBE) of a relaxed structure of Hf2NbIn.

Cell and atoms, written as extended XYZ:
```
4
Lattice="3.5312 0.0000 0.0000 0.0000 3.5312 0.0000 0.0000 0.0000 6.7731" Properties=species:S:1:pos:R:3 pbc="T T T"
In 1.7656 1.7656 3.3865
Hf 0.0000 0.0000 5.2194
Hf 0.0000 0.0000 1.5537
Nb 1.7656 1.7656 0.0000
```

Computed properties:
**Total energy**: -33.3 eV per cell
**Energy relative to the elements**: -0.14 eV/atom

No. 8
The following is a DFT calculation (GGA-PBE) of a relaxed structure of ThIr2Rh5.

Cell and atoms, written as extended XYZ:
```
8
Lattice="-0.4660 -3.8187 -0.4064 4.2926 -2.8784 3.7126 -3.1795 -2.1132 5.0912" Properties=species:S:1:pos:R:3 pbc="T T T"
Rh 1.4505 -4.3713 2.5881
Rh -1.2696 -4.0927 3.0899
Rh 0.5566 -2.4958 4.4019
Rh -0.8034 -4.4390 5.8094
Rh 1.9167 -4.7176 5.3075
Th 0.0000 0.0000 0.0000
Ir 0.1282 -2.1776 1.9035
Ir 0.5189 -6.6327 6.4939
```

Computed properties:
**Total energy**: -62.7 eV per cell
**Energy relative to the elements**: -0.10 eV/atom

No. 9
The following is a DFT calculation (GGA-PBE) of a relaxed structure of Nd6Dy3Er2Mg.

Cell and atoms, written as extended XYZ:
```
12
Lattice="6.2361 -0.0020 0.0104 -3.1183 5.4005 0.0104 -1.0622 -1.8391 11.5685" Properties=species:S:1:pos:R:3 pbc="T T T"
Dy 4.1465 -0.0214 5.7946
Dy -2.0908 3.5809 5.7946
Dy 1.0279 1.7797 5.7946
Nd -0.0162 -0.0281 8.6966
Nd -0.0128 3.5723 8.7206
Nd -1.0449 1.7852 2.8686
Nd 3.1006 1.7742 8.7206
Nd 2.0685 -0.0129 2.8686
Nd 2.0720 3.5876 2.8927
Er 3.1169 1.7995 0.0104
Er 0.0010 3.5990 0.0104
Mg 0.0000 0.0000 0.0000
```

Computed properties:
**Total energy**: -52.9 eV per cell
**Energy relative to the elements**: 0.02 eV/atom

No. 10
The following is a DFT calculation (GGA-PBE) of a relaxed structure of MoIrPb2.

Cell and atoms, written as extended XYZ:
```
4
Lattice="-2.9938 -0.5857 3.7491 -4.3568 -1.7226 1.1886 1.2685 -5.3604 1.7047" Properties=species:S:1:pos:R:3 pbc="T T T"
Mo -4.5616 -5.7516 4.9817
Pb -7.3189 -2.3151 4.9238
Pb -3.0728 -3.8276 3.3350
Ir -1.5205 -1.9172 1.6606
```

Computed properties:
**Total energy**: -24.2 eV per cell
**Energy relative to the lowest polymorph listed for this composition**: 521.5 meV/atom
**Energy relative to the elements**: 0.74 eV/atom

No. 11
The following is a DFT calculation (GGA-PBE) of a relaxed structure of RbSr2Ca.

Cell and atoms, written as extended XYZ:
```
4
Lattice="4.2596 0.0000 0.0000 2.1298 3.6890 0.0000 2.1298 1.2297 14.4875" Properties=species:S:1:pos:R:3 pbc="T T T"
Ca 6.3895 3.6890 14.4868
Sr 2.1298 1.2297 11.2413
Sr 2.1298 1.2297 3.2454
Rb 4.2596 2.4593 7.2452
```

Computed properties:
**Total energy**: -6.0 eV per cell
**Energy relative to the lowest polymorph listed for this composition**: 8.3 meV/atom
**Energy relative to the elements**: 0.09 eV/atom

No. 12
The following is a DFT calculation (GGA-PBE) of a relaxed structure of MnIrBr2.

Cell and atoms, written as extended XYZ:
```
4
Lattice="8.4062 -0.0561 -0.0332 7.7966 3.1435 -0.0332 7.7966 1.4856 2.7705" Properties=species:S:1:pos:R:3 pbc="T T T"
Mn 17.9995 3.4298 2.0281
Ir 5.9998 1.1433 0.6760
Br 0.2373 0.0452 0.0267
Br 11.7624 2.2413 1.3254
```

Computed properties:
**Total energy**: -18.6 eV per cell
**Energy relative to the lowest polymorph listed for this composition**: 634.6 meV/atom
**E_form (uncorrected)**: 270 kJ/mol of formula units

> What is the formula in the fourth record?

NdTl3Hg12